1.
Material: Ho8InGa2
Method: DFT, PBE
State: relaxed

Calculated values
Size of the total moment: 0.00 μB/f.u.
Electronic total energy: -48.66 eV per formula unit
Energy of formation: -0.295 eV per atom
Volume: 27.106 Å³ per atom
N(E_F): 8.74 states/eV per cell

a = 8.414 Å, b = 8.414 Å, c = 8.268 Å
α = 117.48°, β = 117.48°, γ = 35.62°
Element x y z (fractional)
Ho: 0.064 0.064 0.222
Ho: 0.147 0.147 0.706
Ho: 0.316 0.316 0.541
Ho: 0.397 0.397 0.041
Ho: 0.603 0.603 0.959
Ho: 0.684 0.684 0.459
Ho: 0.853 0.853 0.294
Ho: 0.936 0.936 0.778
In: 0.500 0.500 0.500
Ga: 0.221 0.221 0.125
Ga: 0.779 0.779 0.875

2.
Material: Ho5InGa2
Method: DFT, PBE
State: relaxed

Calculated values
Size of the total moment: 0.00 μB/f.u.
Electronic total energy: -35.50 eV per formula unit
Energy of formation: -0.478 eV per atom
Volume: 26.518 Å³ per atom
N(E_F): 12.35 states/eV per cell

a = 8.971 Å, b = 8.971 Å, c = 8.971 Å
α = 129.03°, β = 129.03°, γ = 74.96°
Element x y z (fractional)
Ho: 0.000 0.000 0.000
Ho: 0.023 0.523 0.833
Ho: 0.190 0.023 0.500
Ho: 0.310 0.810 0.833
Ho: 0.477 0.310 0.500
Ho: 0.500 0.500 0.000
Ho: 0.523 0.690 0.500
Ho: 0.690 0.190 0.167
Ho: 0.810 0.977 0.500
Ho: 0.977 0.477 0.167
In: 0.250 0.250 0.000
In: 0.750 0.750 0.000
Ga: 0.125 0.375 0.500
Ga: 0.375 0.875 0.250
Ga: 0.625 0.125 0.750
Ga: 0.875 0.625 0.500

3.
Material: Ho4InGa3
Method: DFT, PBE
State: relaxed

Calculated values
Size of the total moment: 0.00 μB/f.u.
Electronic total energy: -34.61 eV per formula unit
Energy of formation: -0.559 eV per atom
Volume: 24.790 Å³ per atom
N(E_F): 6.72 states/eV per cell

a = 4.096 Å, b = 4.402 Å, c = 10.999 Å
α = 90.00°, β = 90.00°, γ = 90.00°
Element x y z (fractional)
Ho: 0.000 0.000 0.000
Ho: 0.000 0.500 0.486
Ho: 0.500 0.000 0.709
Ho: 0.500 0.500 0.218
In: 0.000 0.500 0.776
Ga: 0.000 0.000 0.278
Ga: 0.500 0.000 0.430
Ga: 0.500 0.500 0.944